A plane-wave DFT calculation with PBE-GGA was carried out for a relaxed structure of U4Ga12Tc.

Summary:
VASP energy: -5.651 eV per atom
Symmetry: Im-3m (229)

Lattice parameters (Å, degrees): 7.426 7.426 7.426 109.47 109.47 109.47
Fractional coordinates of all 17 atoms:
U 0.000 0.000 0.500
U 0.000 0.500 0.000
U 0.500 0.000 0.000
U 0.500 0.500 0.500
Ga 0.000 0.292 0.292
Ga 0.000 0.708 0.708
Ga 0.250 0.500 0.750
Ga 0.250 0.750 0.500
Ga 0.292 0.000 0.292
Ga 0.292 0.292 0.000
Ga 0.500 0.250 0.750
Ga 0.500 0.750 0.250
Ga 0.708 0.000 0.708
Ga 0.708 0.708 0.000
Ga 0.750 0.250 0.500
Ga 0.750 0.500 0.250
Tc 0.000 0.000 0.000


A plane-wave DFT calculation with PBE-GGA was carried out for a relaxed structure of UGa5Tc.

Summary:
VASP energy: -5.501 eV per atom
Symmetry: P4/mmm (123)

Lattice parameters (Å, degrees): 4.439 4.439 6.648 90.00 90.00 90.00
Fractional coordinates of all 7 atoms:
U 0.000 0.000 0.000
Ga 0.000 0.500 0.301
Ga 0.000 0.500 0.699
Ga 0.500 0.000 0.301
Ga 0.500 0.000 0.699
Ga 0.500 0.500 0.000
Tc 0.000 0.000 0.500


A plane-wave DFT calculation with PBE-GGA was carried out for a relaxed structure of GaTc2W.

Summary:
VASP energy: -8.584 eV per atom
Symmetry: P6_3/mmc (194)

Lattice parameters (Å, degrees): 4.413 4.413 7.441 90.00 90.00 120.00
Fractional coordinates of all 8 atoms:
Ga 0.333 0.667 0.250
Ga 0.667 0.333 0.750
Tc 0.333 0.667 0.584
Tc 0.333 0.667 0.916
Tc 0.667 0.333 0.084
Tc 0.667 0.333 0.416
W 0.000 0.000 0.250
W 0.000 0.000 0.750


A plane-wave DFT calculation with PBE-GGA was carried out for a relaxed structure of GaTc2W.

Summary:
VASP energy: -8.966 eV per atom
Symmetry: F-43m (216)

Lattice parameters (Å, degrees): 4.396 4.396 4.396 60.00 60.00 60.00
Fractional coordinates of all 4 atoms:
Ga 0.000 0.000 0.000
Tc 0.500 0.500 0.500
Tc 0.750 0.750 0.750
W 0.250 0.250 0.250


A plane-wave DFT calculation with PBE-GGA was carried out for a relaxed structure of GaTcW2.

Summary:
VASP energy: -9.702 eV per atom
Symmetry: F-43m (216)

Lattice parameters (Å, degrees): 4.435 4.435 4.435 60.00 60.00 60.00
Fractional coordinates of all 4 atoms:
Ga 0.000 0.000 0.000
Tc 0.250 0.250 0.250
W 0.500 0.500 0.500
W 0.750 0.750 0.750


A plane-wave DFT calculation with PBE-GGA was carried out for a relaxed structure of GaTc2W.

Summary:
VASP energy: -8.995 eV per atom
Symmetry: Pnma (62)

Lattice parameters (Å, degrees): 5.858 8.057 5.146 90.00 90.00 90.00
Fractional coordinates of all 16 atoms:
Ga 0.101 0.250 0.123
Ga 0.399 0.750 0.623
Ga 0.601 0.250 0.377
Ga 0.899 0.750 0.877
Tc 0.187 0.520 0.842
Tc 0.187 0.980 0.842
Tc 0.313 0.020 0.342
Tc 0.313 0.480 0.342
Tc 0.687 0.520 0.658
Tc 0.687 0.980 0.658
Tc 0.813 0.020 0.158
Tc 0.813 0.480 0.158
W 0.008 0.750 0.368
W 0.492 0.250 0.868
W 0.508 0.750 0.132
W 0.992 0.250 0.632


A plane-wave DFT calculation with PBE-GGA was carried out for a relaxed structure of GaTc2W.

Summary:
VASP energy: -8.898 eV per atom
Symmetry: P6_3/mmc (194)

Lattice parameters (Å, degrees): 4.412 4.412 7.656 90.00 90.00 120.00
Fractional coordinates of all 8 atoms:
Ga 0.333 0.667 0.250
Ga 0.667 0.333 0.750
Tc 0.333 0.667 0.593
Tc 0.333 0.667 0.907
Tc 0.667 0.333 0.093
Tc 0.667 0.333 0.407
W 0.000 0.000 0.000
W 0.000 0.000 0.500


A plane-wave DFT calculation with PBE-GGA was carried out for a relaxed structure of GaTc2W.

Summary:
VASP energy: -8.993 eV per atom
Symmetry: P6_3/mmc (194)

Lattice parameters (Å, degrees): 4.280 4.280 8.048 90.00 90.00 120.00
Fractional coordinates of all 8 atoms:
Ga 0.000 0.000 0.000
Ga 0.000 0.000 0.500
Tc 0.333 0.667 0.098
Tc 0.333 0.667 0.402
Tc 0.667 0.333 0.598
Tc 0.667 0.333 0.902
W 0.333 0.667 0.750
W 0.667 0.333 0.250


A plane-wave DFT calculation with PBE-GGA was carried out for a relaxed structure of GaTcW.

Summary:
Energy above the lowest structure with this stoichiometry: 0 meV per atom
Symmetry: F-43m (216)

Lattice parameters (Å, degrees): 4.222 4.222 4.222 60.00 60.00 60.00
Fractional coordinates of all 3 atoms:
Ga 0.000 0.000 0.000
Tc 0.250 0.250 0.250
W 0.500 0.500 0.500


A plane-wave DFT calculation with PBE-GGA was carried out for a relaxed structure of GaTc2W.

Summary:
VASP energy: -9.309 eV per atom
Symmetry: P4/mmm (123)

Lattice parameters (Å, degrees): 3.132 3.132 6.072 90.00 90.00 90.00
Fractional coordinates of all 4 atoms:
Ga 0.000 0.000 0.000
Tc 0.500 0.500 0.248
Tc 0.500 0.500 0.752
W 0.000 0.000 0.500


A plane-wave DFT calculation with PBE-GGA was carried out for a relaxed structure of YGaTc2.

Summary:
VASP energy: -7.507 eV per atom
Symmetry: F-43m (216)

Lattice parameters (Å, degrees): 4.611 4.611 4.611 60.00 60.00 60.00
Fractional coordinates of all 4 atoms:
Y 0.000 0.000 0.000
Ga 0.750 0.750 0.750
Tc 0.250 0.250 0.250
Tc 0.500 0.500 0.500


A plane-wave DFT calculation with PBE-GGA was carried out for a relaxed structure of Y2GaTc.

Summary:
VASP energy: -6.573 eV per atom
Symmetry: F-43m (216)

Lattice parameters (Å, degrees): 4.862 4.862 4.862 60.00 60.00 60.00
Fractional coordinates of all 4 atoms:
Y 0.000 0.000 0.000
Y 0.250 0.250 0.250
Ga 0.500 0.500 0.500
Tc 0.750 0.750 0.750


A plane-wave DFT calculation with PBE-GGA was carried out for a relaxed structure of ZnGaTc.

Summary:
VASP energy: -4.474 eV per atom
Symmetry: F-43m (216)

Lattice parameters (Å, degrees): 4.223 4.223 4.223 60.00 60.00 60.00
Fractional coordinates of all 3 atoms:
Zn 0.000 0.000 0.000
Ga 0.500 0.500 0.500
Tc 0.750 0.750 0.750